A geometry-optimized Li3Fe2Si2O8 structure, computed with GGA+U.

Cell lengths 5.0709, 6.3731, 10.9423 Å; angles 90.00, 90.46, 90.00 degrees
Last column: nearest neighbours and their distance in Å.
Space group Pc (No. 7)
One atom of each set of equivalent atoms:
Li1 0.0000 0.0011 0.0000 [2 per cell]  4 O 1.93-2.16
Li2 0.0066 0.2514 0.2338 [2 per cell]  3 O 1.94-2.02
Li3 0.5037 0.2736 0.5785 [2 per cell]  3 O 1.93-2.02
Fe1 0.5070 0.0226 0.8210 [2 per cell]  4 O 1.86-1.94
Fe2 0.9920 0.4905 0.9861 [2 per cell]  4 O 1.97-2.06
Si1 0.0094 0.2623 0.7371 [2 per cell]  4 O 1.62-1.70
Si2 0.5051 0.2381 0.0767 [2 per cell]  4 O 1.62-1.71
O1 0.3335 0.2356 0.7359 [2 per cell]  1 Si 1.65
O2 0.3868 0.4552 0.0217 [2 per cell]  1 Si 1.62
O3 0.3974 0.1998 0.2180 [2 per cell]  1 Si 1.66
O4 0.4056 0.0277 0.9912 [2 per cell]  1 Si 1.71
O5 0.8288 0.2382 0.0754 [2 per cell]  1 Si 1.64
O6 0.8869 0.0507 0.8117 [2 per cell]  1 Si 1.70
O7 0.8995 0.2572 0.5944 [2 per cell]  1 Si 1.65
O8 0.9345 0.4780 0.8078 [2 per cell]  1 Si 1.62

**DFT total energy**: -201.0 eV per cell
**Magnetization**: 9.00 μB/f.u.